{"formula": "BaSrTe", "functional": "PBE", "state": "optimized geometry", "cell": [[5.650, 0.000, 0.000], [2.825, 4.893, 0.000], [2.825, 1.631, 4.613]], "species": ["Te", "Sr", "Ba"], "fractional_positions": [[0.000, 0.000, 0.000], [0.750, 0.750, 0.750], [0.500, 0.500, 0.500]], "e_above_lowest_polymorph_mev_per_atom": 716, "spacegroup": "F-43m (216)"}

=====

{"formula": "BaSr2Te", "functional": "PBE", "state": "optimized geometry", "cell": [[-3.839, 1.329, -0.850], [-1.569, -3.178, 2.161], [0.106, 6.064, 8.995]], "species": ["Te", "Sr", "Sr", "Ba"], "fractional_positions": [[0.500, 0.500, 0.250], [0.000, 0.000, 0.428], [0.000, 0.000, 0.072], [0.500, 0.500, 0.750]], "spacegroup": "Cmmm (65)"}

=====

{"formula": "Ba2SrTe4", "functional": "PBE", "state": "optimized geometry", "cell": [[6.145, 0.000, 0.000], [0.000, 6.145, 0.000], [3.073, 3.073, 8.674]], "species": ["Te", "Te", "Te", "Te", "Ba", "Ba", "Sr"], "fractional_positions": [[0.813, 0.813, 0.374], [0.500, 0.000, 0.000], [0.187, 0.187, 0.626], [0.000, 0.500, 0.000], [0.620, 0.620, 0.760], [0.380, 0.380, 0.240], [0.000, 0.000, 0.000]], "spacegroup": "I4/mmm (139)"}

=====

{"formula": "Ba2SrTe2", "functional": "PBE", "state": "optimized geometry", "cell": [[-9.006, -0.205, -1.958], [1.324, -7.417, -5.313], [-0.764, -2.869, 3.814]], "species": ["Ba", "Ba", "Ba", "Ba", "Te", "Te", "Te", "Te", "Sr", "Sr"], "fractional_positions": [[0.847, 0.347, 0.500], [0.653, 0.847, 0.500], [0.153, 0.653, 0.500], [0.347, 0.153, 0.500], [0.154, 0.346, 0.000], [0.654, 0.154, 0.000], [0.346, 0.846, 0.000], [0.846, 0.654, 0.000], [0.000, 0.000, 0.000], [0.500, 0.500, 0.000]], "spacegroup": "P4/mbm (127)"}

=====

{"formula": "Ba2SrTe", "functional": "PBE", "state": "optimized geometry", "cell": [[-3.403, 2.357, -6.911], [0.202, -4.591, -6.616], [-2.176, 0.719, 7.723]], "species": ["Ba", "Ba", "Sr", "Te"], "fractional_positions": [[0.560, 0.560, 0.000], [0.940, 0.940, 0.000], [0.250, 0.750, 0.500], [0.750, 0.250, 0.500]], "spacegroup": "Immm (71)"}

=====

{"formula": "BaSr2Te3", "functional": "PBE", "state": "optimized geometry", "cell": [[4.624, 0.000, -1.400], [-0.850, 6.206, -2.810], [0.015, 0.001, 8.387]], "species": ["Sr", "Sr", "Te", "Te", "Te", "Ba"], "fractional_positions": [[0.834, 0.834, 0.168], [0.166, 0.166, 0.832], [0.174, 0.674, 0.848], [0.500, 0.000, 0.500], [0.826, 0.326, 0.152], [0.500, 0.500, 0.500]], "spacegroup": "Immm (71)"}

=====

{"formula": "BaSr2Te", "functional": "PBE", "state": "optimized geometry", "cell": [[7.856, 0.035, -0.005], [4.034, 6.741, 0.005], [-5.269, -4.573, 3.610]], "species": ["Te", "Sr", "Sr", "Ba"], "fractional_positions": [[0.506, 0.506, 0.000], [0.997, 0.997, 0.000], [0.691, 0.191, 0.500], [0.306, 0.806, 0.500]], "spacegroup": "Imm2 (44)"}

=====

{"formula": "Ba2SrTe", "functional": "PBE", "state": "optimized geometry", "cell": [[4.688, 0.000, 0.000], [2.344, 4.060, 0.000], [2.344, 1.353, 11.768]], "species": ["Te", "Ba", "Ba", "Sr"], "fractional_positions": [[0.666, 0.666, 0.001], [0.273, 0.273, 0.182], [0.061, 0.061, 0.817], [0.500, 0.500, 0.499]], "spacegroup": "R3m (160)"}

=====

{"formula": "BaSrTe2", "functional": "PBE", "state": "optimized geometry", "cell": [[0.000, 4.177, 4.177], [4.177, 0.000, 4.177], [4.177, 4.177, 0.000]], "species": ["Ba", "Te", "Te", "Sr"], "fractional_positions": [[0.500, 0.500, 0.500], [0.750, 0.750, 0.750], [0.250, 0.250, 0.250], [0.000, 0.000, 0.000]], "e_above_lowest_polymorph_mev_per_atom": 205, "spacegroup": "Fm-3m (225)"}

=====

{"formula": "Ba2SrTe3", "functional": "PBE", "state": "optimized geometry", "cell": [[4.921, 0.000, 0.000], [0.000, 6.987, 0.000], [-2.461, -3.493, 7.392]], "species": ["Sr", "Ba", "Ba", "Te", "Te", "Te"], "fractional_positions": [[0.500, 0.500, 0.500], [0.832, 0.832, 0.165], [0.168, 0.168, 0.835], [0.159, 0.659, 0.818], [0.500, 0.000, 0.500], [0.841, 0.341, 0.182]], "spacegroup": "Immm (71)"}

=====

{"formula": "Ba2SrTe", "functional": "PBE", "state": "optimized geometry", "cell": [[-0.966, -0.904, 4.386], [-2.359, -4.311, -1.409], [6.556, -6.645, 0.075]], "species": ["Ba", "Ba", "Te", "Sr"], "fractional_positions": [[0.000, 0.982, 0.910], [0.500, 0.324, 0.228], [0.500, 0.524, 0.828], [0.000, 0.671, 0.534]], "spacegroup": "Amm2 (38)"}

=====

{"formula": "Ba2Sr2Te", "functional": "PBE", "state": "optimized geometry", "cell": [[8.858, 0.000, 0.000], [0.000, 8.858, 0.000], [0.000, 0.000, 6.816]], "species": ["Te", "Te", "Ba", "Ba", "Ba", "Ba", "Sr", "Sr", "Sr", "Sr"], "fractional_positions": [[0.000, 0.000, 0.000], [0.500, 0.500, 0.000], [0.161, 0.661, 0.500], [0.339, 0.161, 0.500], [0.661, 0.839, 0.500], [0.839, 0.339, 0.500], [0.339, 0.839, 0.000], [0.161, 0.339, 0.000], [0.661, 0.161, 0.000], [0.839, 0.661, 0.000]], "spacegroup": "P4/mbm (127)"}

=====

Number 1: Fermi-level density of states 4.42 states/eV/f.u., E_tot -7.76 eV per cell. Number 2: Fermi-level density of states 2.01 states/eV/f.u., E_tot -11.40 eV per cell. Number 3: Fermi-level density of states 9.32 states/eV/f.u., E_tot -25.87 eV per cell. Number 4: Fermi-level density of states 0.59 states/eV/f.u., E_tot -37.31 eV per cell. Number 5: Fermi-level density of states 3.57 states/eV/f.u., E_tot -11.28 eV per cell. Number 6: Fermi-level density of states 0.00 states/eV/f.u., E_tot -25.21 eV per cell. Number 7: Fermi-level density of states 1.84 states/eV/f.u., E_tot -11.14 eV per cell. Number 8: Fermi-level density of states 4.25 states/eV/f.u., E_tot -11.76 eV per cell. Number 9: Fermi-level density of states 0.00 states/eV/f.u., E_tot -16.12 eV per cell. Number 10: Fermi-level density of states 0.00 states/eV/f.u., E_tot -25.55 eV per cell. Number 11: Fermi-level density of states 4.35 states/eV/f.u., E_tot -11.59 eV per cell. Number 12: Fermi-level density of states 4.87 states/eV/f.u., E_tot -24.93 eV per cell.